DFT (GGA-PBEsol) results for crystalline ZnNiF2 at its relaxed geometry.

Results
**Fermi-level density of states**: 1.413 states/eV/atom
**Formation energy from raw total energies**: -2.85 eV/f.u.

Cell lengths 3.9131, 3.9131, 3.9131 Å; angles 60.00, 60.00, 60.00 degrees
Element x y z (fractional)
Ni1 0.0000 0.0000 0.0000
Zn1 0.5000 0.5000 0.5000
F1 0.2500 0.2500 0.2500
F2 0.7500 0.7500 0.7500

---

DFT (GGA-PBEsol) results for crystalline ZrNiF6 at its relaxed geometry.

Results
**Formation energy from raw total energies**: -23.56 eV/f.u.

Cell lengths 5.6250, 5.6250, 5.6250 Å; angles 60.00, 60.00, 60.00 degrees
Element x y z (fractional)
Ni1 0.5000 0.5000 0.5000
Zr1 0.0000 0.0000 0.0000
F1 0.7479 0.2521 0.2521
F2 0.2521 0.7479 0.7479
F3 0.7479 0.7479 0.2521
F4 0.2521 0.2521 0.7479
F5 0.2521 0.7479 0.2521
F6 0.7479 0.2521 0.7479

---

The highest formation energy from raw total energies belongs to which entry?
ZnNiF2

---

Which value of formation energy from raw total energies does entry 1 give?
-2.85 eV/f.u.

---

What is the formula in the first record?
ZnNiF2